Arrangement i

A plane-wave DFT calculation with PBE was carried out for an optimized crystal structure of KMoN2.

Structure (CIF):
```
data_KMoN2
_cell_length_a 3.1148
_cell_length_b 3.1148
_cell_length_c 21.3463
_cell_angle_alpha 90.00
_cell_angle_beta 90.00
_cell_angle_gamma 120.00
_space_group_name_H-M_alt 'R -3 m'
_space_group_IT_number 166
_space_group_name_Hall '-R 3 2"'
loop_
_atom_site_label
_atom_site_type_symbol
_atom_site_fract_x
_atom_site_fract_y
_atom_site_fract_z
K1 K 0.0000 0.0000 0.0000
Mo1 Mo 0.0000 0.0000 0.5000
N1 N 0.0000 0.0000 0.1162
```

Computed properties:
Crystal system   trigonal

Arrangement ii

A plane-wave DFT calculation with PBE was carried out for an optimized crystal structure of KMoN2.

Structure (CIF):
```
data_KMoN2
_cell_length_a 5.841
_cell_length_b 11.830
_cell_length_c 17.010
_cell_angle_alpha 90.00
_cell_angle_beta 90.00
_cell_angle_gamma 90.00
_space_group_name_H-M_alt 'P b c a'
_space_group_IT_number 61
loop_
_space_group_symop_operation_xyz
'x,y,z'
'-x,-y,-z'
'-x+1/2,-y,z+1/2'
'x+1/2,y,-z+1/2'
'x+1/2,-y+1/2,-z'
'-x+1/2,y+1/2,z'
'-x,y+1/2,-z+1/2'
'x,-y+1/2,z+1/2'
loop_
_atom_site_label
_atom_site_type_symbol
_atom_site_fract_x
_atom_site_fract_y
_atom_site_fract_z
K1 K 0.243 0.248 0.186
K2 K 0.245 0.001 0.562
Mo1 Mo 0.226 0.003 0.809
Mo2 Mo 0.249 0.247 0.436
N1 N 0.007 0.702 0.001
N2 N 0.042 0.503 0.215
N3 N 0.151 0.622 0.375
N4 N 0.158 0.137 0.865
```

Computed properties:
Crystal system   orthorhombic

Arrangement iii

A plane-wave DFT calculation with PBE was carried out for an optimized crystal structure of KMoN2.

Structure (CIF):
```
data_KMoN2
_cell_length_a 3.2421
_cell_length_b 3.2421
_cell_length_c 22.9761
_cell_angle_alpha 90.00
_cell_angle_beta 90.00
_cell_angle_gamma 120.00
_space_group_name_H-M_alt 'R -3 m'
_space_group_IT_number 166
_space_group_name_Hall '-R 3 2"'
loop_
_atom_site_label
_atom_site_type_symbol
_atom_site_fract_x
_atom_site_fract_y
_atom_site_fract_z
K1 K 0.0000 0.0000 0.0000
Mo1 Mo 0.0000 0.0000 0.5000
N1 N 0.0000 0.0000 0.4193
```

Computed properties:
Crystal system   trigonal

Which structure wins on stability? arrangement ii wins.

Arrangement i

A plane-wave DFT calculation with PBE was carried out for an optimized crystal structure of KMo2N2.

Structure (CIF):
```
data_KMo2N2
_cell_length_a 6.929
_cell_length_b 6.929
_cell_length_c 2.849
_cell_angle_alpha 90.00
_cell_angle_beta 90.00
_cell_angle_gamma 90.00
_space_group_name_H-M_alt 'P 4/m b m'
_space_group_IT_number 127
_space_group_name_Hall '-P 4 2ab'
loop_
_atom_site_label
_atom_site_type_symbol
_atom_site_fract_x
_atom_site_fract_y
_atom_site_fract_z
K1 K 0.000 0.000 0.000
Mo1 Mo 0.120 0.380 0.500
N1 N 0.130 0.630 0.000
```

Computed properties:
Crystal system   tetragonal

Arrangement ii

A plane-wave DFT calculation with PBE was carried out for an optimized crystal structure of KMo2N2.

Structure (CIF):
```
data_KMo2N2
_cell_length_a 3.557
_cell_length_b 3.557
_cell_length_c 12.903
_cell_angle_alpha 90.00
_cell_angle_beta 90.00
_cell_angle_gamma 90.00
_space_group_name_H-M_alt 'I 4/m m m'
_space_group_IT_number 139
_space_group_name_Hall '-I 4 2'
loop_
_atom_site_label
_atom_site_type_symbol
_atom_site_fract_x
_atom_site_fract_y
_atom_site_fract_z
K1 K 0.000 0.000 0.000
Mo1 Mo 0.000 0.500 0.250
N1 N 0.000 0.000 0.351
```

Computed properties:
Crystal system   tetragonal

Which structure wins on stability? arrangement ii wins.

Arrangement i

A plane-wave DFT calculation with PBE was carried out for an optimized crystal structure of KMoSeN2.

Structure (CIF):
```
data_KMoSeN2
_cell_length_a 4.062
_cell_length_b 4.062
_cell_length_c 5.181
_cell_angle_alpha 90.00
_cell_angle_beta 90.00
_cell_angle_gamma 90.00
_space_group_name_H-M_alt 'P 4/m m m'
_space_group_IT_number 123
_space_group_name_Hall '-P 4 2'
loop_
_atom_site_label
_atom_site_type_symbol
_atom_site_fract_x
_atom_site_fract_y
_atom_site_fract_z
K1 K 0.000 0.000 0.000
Mo1 Mo 0.500 0.500 0.500
Se1 Se 0.500 0.500 0.000
N1 N 0.000 0.500 0.500
```

Computed properties:
Crystal system   tetragonal

Arrangement ii

A plane-wave DFT calculation with PBE was carried out for an optimized crystal structure of KMoSeN2.

Structure (CIF):
```
data_KMoSeN2
_cell_length_a 4.105
_cell_length_b 4.105
_cell_length_c 5.407
_cell_angle_alpha 90.00
_cell_angle_beta 90.00
_cell_angle_gamma 90.00
_space_group_name_H-M_alt 'P 4/m m m'
_space_group_IT_number 123
_space_group_name_Hall '-P 4 2'
loop_
_atom_site_label
_atom_site_type_symbol
_atom_site_fract_x
_atom_site_fract_y
_atom_site_fract_z
K1 K 0.000 0.000 0.000
Mo1 Mo 0.500 0.500 0.500
Se1 Se 0.000 0.000 0.500
N1 N 0.000 0.500 0.000
```

Computed properties:
Crystal system   tetragonal

Which structure wins on stability? arrangement i wins.

Arrangement i

A plane-wave DFT calculation with PBE was carried out for an optimized crystal structure of KTe2MoN.

Structure (CIF):
```
data_KTe2MoN
_cell_length_a 5.201
_cell_length_b 5.201
_cell_length_c 6.903
_cell_angle_alpha 90.00
_cell_angle_beta 90.00
_cell_angle_gamma 90.00
_space_group_name_H-M_alt 'P 4/m m m'
_space_group_IT_number 123
_space_group_name_Hall '-P 4 2'
loop_
_atom_site_label
_atom_site_type_symbol
_atom_site_fract_x
_atom_site_fract_y
_atom_site_fract_z
K1 K 0.000 0.000 0.000
Te1 Te 0.000 0.500 0.500
Mo1 Mo 0.000 0.000 0.500
N1 N 0.500 0.500 0.000
```

Computed properties:
Crystal system   tetragonal

Arrangement ii

A plane-wave DFT calculation with PBE was carried out for an optimized crystal structure of KTe2MoN.

Structure (CIF):
```
data_KTe2MoN
_cell_length_a 5.675
_cell_length_b 5.675
_cell_length_c 3.857
_cell_angle_alpha 90.00
_cell_angle_beta 90.00
_cell_angle_gamma 90.00
_space_group_name_H-M_alt 'P 4/m m m'
_space_group_IT_number 123
_space_group_name_Hall '-P 4 2'
loop_
_atom_site_label
_atom_site_type_symbol
_atom_site_fract_x
_atom_site_fract_y
_atom_site_fract_z
K1 K 0.000 0.000 0.000
Te1 Te 0.000 0.500 0.500
Mo1 Mo 0.500 0.500 0.500
N1 N 0.500 0.500 0.000
```

Computed properties:
Crystal system   tetragonal

Which structure wins on stability? arrangement ii wins.

Arrangement i

A plane-wave DFT calculation with PBE was carried out for an optimized crystal structure of KTeMoN2.

Structure (CIF):
```
data_KTeMoN2
_cell_length_a 4.147
_cell_length_b 4.147
_cell_length_c 5.557
_cell_angle_alpha 90.00
_cell_angle_beta 90.00
_cell_angle_gamma 90.00
_space_group_name_H-M_alt 'P 4/m m m'
_space_group_IT_number 123
_space_group_name_Hall '-P 4 2'
loop_
_atom_site_label
_atom_site_type_symbol
_atom_site_fract_x
_atom_site_fract_y
_atom_site_fract_z
K1 K 0.000 0.000 0.000
Te1 Te 0.500 0.500 0.000
Mo1 Mo 0.500 0.500 0.500
N1 N 0.000 0.500 0.500
```

Computed properties:
Crystal system   tetragonal

Arrangement ii

A plane-wave DFT calculation with PBE was carried out for an optimized crystal structure of KTeMoN2.

Structure (CIF):
```
data_KTeMoN2
_cell_length_a 4.082
_cell_length_b 4.082
_cell_length_c 8.369
_cell_angle_alpha 90.00
_cell_angle_beta 90.00
_cell_angle_gamma 90.00
_space_group_name_H-M_alt 'P 4/m m m'
_space_group_IT_number 123
_space_group_name_Hall '-P 4 2'
loop_
_atom_site_label
_atom_site_type_symbol
_atom_site_fract_x
_atom_site_fract_y
_atom_site_fract_z
K1 K 0.000 0.000 0.000
Te1 Te 0.500 0.500 0.000
Mo1 Mo 0.000 0.000 0.500
N1 N 0.000 0.500 0.500
```

Computed properties:
Crystal system   tetragonal

Which structure wins on stability? arrangement i wins.

Arrangement i

A plane-wave DFT calculation with PBE was carried out for an optimized crystal structure of KNa2Mo.

Structure (CIF):
```
data_KNa2Mo
_cell_length_a 9.307
_cell_length_b 9.307
_cell_length_c 7.169
_cell_angle_alpha 90.00
_cell_angle_beta 90.00
_cell_angle_gamma 90.00
_space_group_name_H-M_alt 'I -4 2 d'
_space_group_IT_number 122
_space_group_name_Hall 'I -4 2bw'
loop_
_atom_site_label
_atom_site_type_symbol
_atom_site_fract_x
_atom_site_fract_y
_atom_site_fract_z
K1 K 0.000 0.000 0.000
Na1 Na 0.217 0.750 0.625
Mo1 Mo 0.000 0.000 0.500
```

Computed properties:
Crystal system   tetragonal

Arrangement ii

A plane-wave DFT calculation with PBE was carried out for an optimized crystal structure of KNa2Mo.

Structure (CIF):
```
data_KNa2Mo
_cell_length_a 8.206
_cell_length_b 8.206
_cell_length_c 8.206
_cell_angle_alpha 90.00
_cell_angle_beta 90.00
_cell_angle_gamma 90.00
_space_group_name_H-M_alt 'F m -3 m'
_space_group_IT_number 225
_space_group_name_Hall '-F 4 2 3'
loop_
_atom_site_label
_atom_site_type_symbol
_atom_site_fract_x
_atom_site_fract_y
_atom_site_fract_z
K1 K 0.000 0.000 0.000
Na1 Na 0.250 0.250 0.250
Mo1 Mo 0.000 0.000 0.500
```

Computed properties:
Crystal system   cubic

Which structure wins on stability? arrangement ii wins.

Arrangement i

A plane-wave DFT calculation with PBE was carried out for an optimized crystal structure of K2NaMo2.

Structure (CIF):
```
data_K2NaMo2
_cell_length_a 3.561
_cell_length_b 3.561
_cell_length_c 27.026
_cell_angle_alpha 90.00
_cell_angle_beta 90.00
_cell_angle_gamma 90.00
_space_group_name_H-M_alt 'I 4/m m m'
_space_group_IT_number 139
_space_group_name_Hall '-I 4 2'
loop_
_atom_site_label
_atom_site_type_symbol
_atom_site_fract_x
_atom_site_fract_y
_atom_site_fract_z
K1 K 0.000 0.000 0.131
Na1 Na 0.000 0.000 0.500
Mo1 Mo 0.000 0.500 0.250
```

Computed properties:
Crystal system   tetragonal

Arrangement ii

A plane-wave DFT calculation with PBE was carried out for an optimized crystal structure of K2NaMo2.

Structure (CIF):
```
data_K2NaMo2
_cell_length_a 10.570
_cell_length_b 10.570
_cell_length_c 3.035
_cell_angle_alpha 90.00
_cell_angle_beta 90.00
_cell_angle_gamma 90.00
_space_group_name_H-M_alt 'P 4/m b m'
_space_group_IT_number 127
_space_group_name_Hall '-P 4 2ab'
loop_
_atom_site_label
_atom_site_type_symbol
_atom_site_fract_x
_atom_site_fract_y
_atom_site_fract_z
K1 K 0.210 0.290 0.000
Na1 Na 0.000 0.000 0.000
Mo1 Mo 0.070 0.570 0.500
```

Computed properties:
Crystal system   tetragonal

Which structure wins on stability? arrangement i wins.

Arrangement i

A plane-wave DFT calculation with PBE was carried out for an optimized crystal structure of K2NaMo.

Structure (CIF):
```
data_K2NaMo
_cell_length_a 8.839
_cell_length_b 8.839
_cell_length_c 8.839
_cell_angle_alpha 90.00
_cell_angle_beta 90.00
_cell_angle_gamma 90.00
_space_group_name_H-M_alt 'F m -3 m'
_space_group_IT_number 225
_space_group_name_Hall '-F 4 2 3'
loop_
_atom_site_label
_atom_site_type_symbol
_atom_site_fract_x
_atom_site_fract_y
_atom_site_fract_z
K1 K 0.250 0.250 0.250
Na1 Na 0.000 0.000 0.000
Mo1 Mo 0.000 0.000 0.500
```

Computed properties:
Crystal system   cubic

Arrangement ii

A plane-wave DFT calculation with PBE was carried out for an optimized crystal structure of K2NaMo.

Structure (CIF):
```
data_K2NaMo
_cell_length_a 9.994
_cell_length_b 9.994
_cell_length_c 7.254
_cell_angle_alpha 90.00
_cell_angle_beta 90.00
_cell_angle_gamma 90.00
_space_group_name_H-M_alt 'I -4 2 d'
_space_group_IT_number 122
_space_group_name_Hall 'I -4 2bw'
loop_
_atom_site_label
_atom_site_type_symbol
_atom_site_fract_x
_atom_site_fract_y
_atom_site_fract_z
K1 K 0.244 0.250 0.125
Na1 Na 0.000 0.000 0.500
Mo1 Mo 0.000 0.000 0.000
```

Computed properties:
Crystal system   tetragonal

Which structure wins on stability? arrangement i wins.